8
Lattice="-3.796 1.380 -0.515 1.708 -2.369 -2.837 -5.281 -11.976 6.820" Properties=species:S:1:pos:R:3 comment="PrHICl GGA-PBE optimized geometry" e_tot_ev_per_atom=-4.377 crystal_system=trigonal de_polymorph_mev_per_atom=0 total_magnetization_mub_per_cell=0.0 pbc="T T T"
I -0.757 -2.548 -1.250
Cl -2.165 -5.741 0.569
H -4.014 -9.934 2.957
Pr -3.858 -8.748 4.982
H -3.355 -3.030 0.511
I -6.613 -10.417 4.717
Cl -5.204 -7.223 2.899
Pr -1.424 -3.228 1.838

8
Lattice="-1.201 -3.527 -1.641 3.118 2.047 -1.631 9.208 -7.148 8.631" Properties=species:S:1:pos:R:3 comment="PrHICl GGA-PBE optimized geometry" e_tot_ev_per_atom=-4.371 crystal_system=hexagonal de_polymorph_mev_per_atom=7 total_magnetization_mub_per_cell=0.0 pbc="T T T"
H 6.283 -3.385 2.681
H 0.000 0.000 0.000
Cl 5.717 -4.438 5.359
Pr 4.843 -5.244 2.678
Cl 3.491 -2.710 3.273
Pr 0.239 -1.669 -1.638
I 3.079 -0.898 -0.322
I 9.487 -5.873 5.684

8
Lattice="-1.700 3.404 -1.576 -2.397 -2.990 1.510 0.452 6.745 14.079" Properties=species:S:1:pos:R:3 comment="Pr2H2I3Cl GGA-PBE optimized geometry" e_tot_ev_per_atom=-4.209 crystal_system=trigonal total_magnetization_mub_per_cell=0.0 pbc="T T T"
H 0.111 1.663 3.471
I -2.117 -0.145 1.970
Cl 0.394 5.882 12.277
Pr -1.588 6.419 10.194
Pr -1.821 2.933 2.917
I 0.281 4.197 8.759
H -1.822 4.254 11.152
I -1.990 1.748 5.922

8
Lattice="-1.166 -0.556 -3.865 -2.705 -0.400 3.022 -3.242 14.059 -1.042" Properties=species:S:1:pos:R:3 comment="PrHICl GGA-PBE optimized geometry" e_tot_ev_per_atom=-4.375 crystal_system=hexagonal de_polymorph_mev_per_atom=2 total_magnetization_mub_per_cell=0.0 pbc="T T T"
H -4.127 10.113 -2.357
Cl -2.908 4.826 -1.965
H -3.019 3.135 0.460
I -2.023 0.990 -1.680
Cl -5.042 11.907 -0.190
Pr -0.841 3.649 -0.271
Pr -2.462 10.679 -0.792
I -4.157 8.071 0.094

8
Lattice="-3.208 -1.396 1.555 1.462 -1.616 -3.148 7.901 -8.952 8.263" Properties=species:S:1:pos:R:3 comment="Tb2H2ICl3 GGA-PBE optimized geometry" e_tot_ev_per_atom=-4.510 crystal_system=trigonal total_magnetization_mub_per_cell=0.0 pbc="T T T"
Tb 0.402 -3.796 2.135
Cl 6.771 -9.321 5.600
H 1.925 -3.831 0.533
Tb 4.267 -8.174 6.177
Cl 2.985 -3.382 3.122
I 0.866 -0.981 0.906
Cl 4.877 -7.176 3.620
H 5.923 -6.711 6.195

8
Lattice="-3.673 -1.342 -0.604 1.507 0.062 3.658 -5.593 14.386 2.059" Properties=species:S:1:pos:R:3 comment="Tb2H2I3Cl GGA-PBE optimized geometry" e_tot_ev_per_atom=-4.144 crystal_system=trigonal total_magnetization_mub_per_cell=0.0 pbc="T T T"
Tb -4.468 10.521 3.801
I -3.474 8.935 1.279
Tb -1.613 3.177 2.750
I -2.571 0.735 1.047
I -4.107 4.684 1.612
H -1.396 3.591 0.514
Cl -4.849 12.472 1.785
H -6.173 9.998 2.372

8
Lattice="-2.483 -2.758 0.887 3.505 -0.904 -1.206 5.073 0.142 14.638" Properties=species:S:1:pos:R:3 comment="TmHICl GGA-PBE optimized geometry" e_tot_ev_per_atom=-4.244 crystal_system=trigonal de_polymorph_mev_per_atom=1 total_magnetization_mub_per_cell=0.0 pbc="T T T"
Tm 1.316 0.037 3.797
Tm 3.757 0.106 10.841
Cl 3.372 -1.470 4.867
Cl 2.723 -2.050 9.452
I 3.973 -2.015 13.057
H 5.289 -1.416 10.398
I 2.123 -1.505 1.262
H 0.807 -2.104 3.921

8
Lattice="-2.554 -1.397 2.465 -0.069 -1.107 -3.649 9.307 -11.286 3.248" Properties=species:S:1:pos:R:3 comment="TmHICl GGA-PBE optimized geometry" e_tot_ev_per_atom=-4.240 crystal_system=hexagonal de_polymorph_mev_per_atom=4 total_magnetization_mub_per_cell=0.0 pbc="T T T"
Cl 3.599 -4.364 1.256
Tm -1.725 -1.300 0.427
Tm 2.928 -6.943 2.051
H 3.757 -6.846 0.013
I 7.085 -10.882 1.174
H 0.000 0.000 0.000
I 0.428 -2.810 -1.149
Cl 5.709 -6.922 1.992